# Li9Hg4Bi11, relaxed, DFT GGA-PBE
# - Energy of formation: -0.2074 eV/atom
# - VASP energy: -2.754 eV per atom
# - Density: 8.4 g/cm³
data_Li9Hg4Bi11
_chemical_formula_sum 'Li9 Hg4 Bi11'
_cell_length_a 5.468
_cell_length_b 8.234
_cell_length_c 15.165
_cell_angle_alpha 76.18
_cell_angle_beta 83.56
_cell_angle_gamma 71.49
_space_group_name_H-M_alt 'P -1'
_space_group_IT_number 2
loop_
_space_group_symop_operation_xyz
'x,y,z'
'-x,-y,-z'
loop_
_atom_site_label
_atom_site_fract_x
_atom_site_fract_y
_atom_site_fract_z
_atom_site_occupancy
Li1 0.000 0.000 0.000 1
Li2 0.029 0.688 0.894 1
Li3 0.225 0.555 0.316 1
Li4 0.278 0.107 0.332 1
Li5 0.405 0.690 0.506 1
Hg1 0.140 0.890 0.193 1
Hg2 0.254 0.253 0.941 1
Bi1 0.000 0.500 0.500 1
Bi2 0.203 0.060 0.551 1
Bi3 0.287 0.696 0.712 1
Bi4 0.337 0.280 0.690 1
Bi5 0.352 0.533 0.094 1
Bi6 0.441 0.896 0.855 1


# Li14HgBi, relaxed, DFT GGA-PBE
# - Energy of formation: -0.1702 eV/atom
# - VASP energy: -2.106 eV per atom
# - Density: 2.7 g/cm³
data_Li14HgBi
_chemical_formula_sum 'Li14 Hg1 Bi1'
_cell_length_a 6.838
_cell_length_b 6.838
_cell_length_c 6.552
_cell_angle_alpha 90.00
_cell_angle_beta 90.00
_cell_angle_gamma 90.00
_space_group_name_H-M_alt 'P 4/m m m'
_space_group_IT_number 123
_space_group_name_Hall '-P 4 2'
loop_
_atom_site_label
_atom_site_fract_x
_atom_site_fract_y
_atom_site_fract_z
_atom_site_occupancy
Li1 0.000 0.000 0.000 1
Li2 0.000 0.500 0.000 1
Li3 0.000 0.500 0.500 1
Li4 0.246 0.246 0.265 1
Li5 0.500 0.500 0.000 1
Hg1 0.000 0.000 0.500 1
Bi1 0.500 0.500 0.500 1


# Li6HgBi, relaxed, DFT GGA-PBE
# - Energy of formation: -0.3388 eV/atom
# - VASP energy: -2.297 eV per atom
# - Density: 4.9 g/cm³
data_Li6HgBi
_chemical_formula_sum 'Li12 Hg2 Bi2'
_cell_length_a 4.779
_cell_length_b 6.147
_cell_length_c 10.376
_cell_angle_alpha 90.00
_cell_angle_beta 90.00
_cell_angle_gamma 90.00
_space_group_name_H-M_alt 'A m m 2'
_space_group_IT_number 38
loop_
_space_group_symop_operation_xyz
'x,y,z'
'-x,-y,z'
'-x,y,z'
'x,-y,z'
'x,y+1/2,z+1/2'
'-x,-y+1/2,z+1/2'
'-x,y+1/2,z+1/2'
'x,-y+1/2,z+1/2'
loop_
_atom_site_label
_atom_site_fract_x
_atom_site_fract_y
_atom_site_fract_z
_atom_site_occupancy
Li1 0.000 0.000 0.000 1
Li2 0.000 0.242 0.246 1
Li3 0.500 0.000 0.667 1
Li4 0.500 0.242 0.422 1
Hg1 0.500 0.000 0.166 1
Bi1 0.000 0.000 0.501 1


# Li2Hg3Bi3, relaxed, DFT GGA-PBE
# - Energy of formation: -0.1173 eV/atom
# - VASP energy: -2.164 eV per atom
# - Density: 9.8 g/cm³
data_Li2Hg3Bi3
_chemical_formula_sum 'Li4 Hg6 Bi6'
_cell_length_a 14.280
_cell_length_b 5.604
_cell_length_c 5.706
_cell_angle_alpha 90.00
_cell_angle_beta 113.41
_cell_angle_gamma 90.00
_space_group_name_H-M_alt 'C 1 2/m 1'
_space_group_IT_number 12
loop_
_space_group_symop_operation_xyz
'x,y,z'
'-x,-y,-z'
'-x,y,-z'
'x,-y,z'
'x+1/2,y+1/2,z'
'-x+1/2,-y+1/2,-z'
'-x+1/2,y+1/2,-z'
'x+1/2,-y+1/2,z'
loop_
_atom_site_label
_atom_site_fract_x
_atom_site_fract_y
_atom_site_fract_z
_atom_site_occupancy
Li1 0.239 0.000 0.239 1
Hg1 0.000 0.000 0.000 1
Hg2 0.131 0.000 0.629 1
Bi1 0.000 0.500 0.500 1
Bi2 0.133 0.500 0.131 1


# Li8Hg2Bi, relaxed, DFT GGA-PBE
# - Energy of formation: -0.3418 eV/atom
# - VASP energy: -2.141 eV per atom
# - Density: 5.4 g/cm³
data_Li8Hg2Bi
_chemical_formula_sum 'Li16 Hg4 Bi2'
_cell_length_a 14.364
_cell_length_b 4.545
_cell_length_c 6.976
_cell_angle_alpha 90.00
_cell_angle_beta 114.89
_cell_angle_gamma 90.00
_space_group_name_H-M_alt 'C 1 2/m 1'
_space_group_IT_number 12
loop_
_space_group_symop_operation_xyz
'x,y,z'
'-x,-y,-z'
'-x,y,-z'
'x,-y,z'
'x+1/2,y+1/2,z'
'-x+1/2,-y+1/2,-z'
'-x+1/2,y+1/2,-z'
'x+1/2,-y+1/2,z'
loop_
_atom_site_label
_atom_site_fract_x
_atom_site_fract_y
_atom_site_fract_z
_atom_site_occupancy
Li1 0.031 0.000 0.241 1
Li2 0.110 0.500 0.945 1
Li3 0.157 0.000 0.709 1
Li4 0.173 0.500 0.404 1
Hg1 0.202 0.000 0.158 1
Bi1 0.000 0.500 0.500 1


# Li6Hg3Bi, relaxed, DFT GGA-PBE
# - Energy of formation: -0.3794 eV/atom
# - VASP energy: -2.006 eV per atom
# - Density: 7.4 g/cm³
data_Li6Hg3Bi
_chemical_formula_sum 'Li12 Hg6 Bi2'
_cell_length_a 8.166
_cell_length_b 4.797
_cell_length_c 10.588
_cell_angle_alpha 90.00
_cell_angle_beta 111.94
_cell_angle_gamma 90.00
_space_group_name_H-M_alt 'P 1 21/m 1'
_space_group_IT_number 11
loop_
_space_group_symop_operation_xyz
'x,y,z'
'-x,-y,-z'
'-x,y+1/2,-z'
'x,-y+1/2,z'
loop_
_atom_site_label
_atom_site_fract_x
_atom_site_fract_y
_atom_site_fract_z
_atom_site_occupancy
Li1 0.044 0.250 0.388 1
Li2 0.128 0.750 0.225 1
Li3 0.265 0.250 0.974 1
Li4 0.345 0.750 0.831 1
Li5 0.356 0.250 0.271 1
Li6 0.454 0.250 0.572 1
Hg1 0.021 0.750 0.905 1
Hg2 0.154 0.250 0.678 1
Hg3 0.265 0.750 0.520 1
Bi1 0.427 0.750 0.138 1


M_tot across the listed records, respectively: 0.000; 0.000; 0.000; 0.000; 0.000; 0.000 μB/atom.